Density functional theory data (PBE) for a relaxed YSeS crystal.

The space group is I4mm (No. 107) and the conventional cell measures 3.6980, 3.6980 and 9.5264 Å, with angles of 90.00, 90.00 and 90.00 degrees. The asymmetric unit holds Y at (0.0000, 0.0000, 0.0000), Se at (0.0000, 0.0000, 0.6594) and S at (0.0000, 0.0000, 0.3746).

Its formation energy without anion corrections is -382 kJ/mol of formula units. As for the total energy: -36.078 eV per cell.

=====

Density functional theory data (PBE) for a relaxed Y8SeS6 crystal.

The space group is P-3 (No. 147) and the conventional cell measures 10.1144, 10.1144 and 3.9899 Å, with angles of 90.00, 90.00 and 120.00 degrees. The asymmetric unit holds Y at (0.0354, 0.7003, 0.2416), Y at (0.3333, 0.6667, 0.7534), Se at (0.0000, 0.0000, 0.0000) and S at (0.1344, 0.4812, 0.2542).

Its formation energy without anion corrections is -2293 kJ/mol of formula units. As for the total energy: -103.728 eV per cell.